No. 1
ThMg4Cd after structural relaxation. Source: Alexandria, functional PBE-GGA.

Unit cell a=8.071 b=4.669 c=7.896 alpha=90.00 beta=90.00 gamma=90.00
Space group Pmma (No. 51)
Unique sites:
Th  0.250  0.000  0.133 (multiplicity 2)
Mg  0.000  0.000  0.500 (multiplicity 2)
Mg  0.053  0.500  0.817 (multiplicity 4)
Mg  0.250  0.500  0.448 (multiplicity 2)
Cd  0.250  0.000  0.735 (multiplicity 2)

## Properties
ΔE to the lowest computed polymorph, meV/atom: 0
Energy relative to the elements, eV per atom: 0.004

No. 2
ThMg2Cd6 after structural relaxation. Source: Alexandria, functional PBE-GGA.

Unit cell a=3.251 b=8.695 c=15.122 alpha=90.00 beta=90.00 gamma=90.00
Space group Immm (No. 71)
Unique sites:
Th  0.000  0.000  0.000 (multiplicity 2)
Mg  0.000  0.500  0.148 (multiplicity 4)
Cd  0.000  0.165  0.500 (multiplicity 4)
Cd  0.000  0.324  0.325 (multiplicity 8)

## Properties
Energy relative to the elements, eV per atom: -0.102

No. 3
ThMg6Cd4 after structural relaxation. Source: Alexandria, functional PBE-GGA.

Unit cell a=9.5713 b=9.5713 c=3.3206 alpha=90.00 beta=90.00 gamma=120.00
Space group P-6m2 (No. 187)
Unique sites:
Th  0.0000  0.0000  0.0000 (multiplicity 1)
Mg  0.1855  0.3710  0.5000 (multiplicity 3)
Mg  0.5216  0.0431  0.0000 (multiplicity 3)
Cd  0.3333  0.6667  0.0000 (multiplicity 1)
Cd  0.3553  0.1777  0.5000 (multiplicity 3)

## Properties
Energy relative to the elements, eV per atom: -0.069

No. 4
ThMg2Cd after structural relaxation. Source: Alexandria, functional PBE-GGA.

Unit cell a=3.3037 b=3.3037 c=32.6084 alpha=90.00 beta=90.00 gamma=120.00
Space group R3m (No. 160, hexagonal axes)
Unique sites:
Th  0.0000  0.0000  0.0000 (multiplicity 3)
Mg  0.0000  0.0000  0.2435 (multiplicity 3)
Mg  0.0000  0.0000  0.4245 (multiplicity 3)
Cd  0.0000  0.0000  0.8343 (multiplicity 3)

## Properties
ΔE to the lowest computed polymorph, meV/atom: 71
Energy relative to the elements, eV per atom: 0.004

No. 5
Th2MgCd after structural relaxation. Source: Alexandria, functional PBE-GGA.

Unit cell a=4.773 b=4.773 c=4.880 alpha=90.00 beta=90.00 gamma=90.00
Space group P4/mmm (No. 123)
Unique sites:
Th  0.000  0.500  0.000 (multiplicity 2)
Mg  0.000  0.000  0.500 (multiplicity 1)
Cd  0.500  0.500  0.500 (multiplicity 1)

## Properties
Energy relative to the elements, eV per atom: -0.018

No. 6
Th2Mg2Cd15 after structural relaxation. Source: Alexandria, functional PBE-GGA.

Unit cell a=10.0184 b=10.0184 c=15.0975 alpha=90.00 beta=90.00 gamma=120.00
Space group R-3m (No. 166, hexagonal axes)
Unique sites:
Th  0.0000  0.0000  0.1666 (multiplicity 6)
Mg  0.0000  0.0000  0.3974 (multiplicity 6)
Cd  0.0000  0.2942  0.5000 (multiplicity 18)
Cd  0.0000  0.5000  0.0000 (multiplicity 9)
Cd  0.0127  0.5064  0.6426 (multiplicity 18)

## Properties
Energy relative to the elements, eV per atom: -0.081

Number 1: DOS at the Fermi energy 0.39 states/eV per atom, total DFT energy (no corrections) -2.449 eV/atom, mass density 4.9 Mg/m³. Number 2: DOS at the Fermi energy 0.45 states/eV per atom, total DFT energy (no corrections) -1.891 eV/atom, mass density 7.4 Mg/m³. Number 3: DOS at the Fermi energy 0.28 states/eV per atom, total DFT energy (no corrections) -1.946 eV/atom, mass density 5.2 Mg/m³. Number 4: DOS at the Fermi energy 0.55 states/eV per atom, total DFT energy (no corrections) -2.877 eV/atom, mass density 6.4 Mg/m³. Number 5: DOS at the Fermi energy 1.08 states/eV per atom, total DFT energy (no corrections) -4.355 eV/atom, mass density 9.0 Mg/m³. Number 6: DOS at the Fermi energy 0.50 states/eV per atom, total DFT energy (no corrections) -1.752 eV/atom, mass density 8.3 Mg/m³.